The following is a PBE calculation of a geometry-optimized LiCeScGe structure, from Alexandria.

abc: 4.934 4.934 4.934
angles: 60.00 60.00 60.00
Fractional positions:
Li 0.000 0.000 0.000
Ce 0.750 0.750 0.750
Sc 0.250 0.250 0.250
Ge 0.500 0.500 0.500

Properties
Magnetization (μB per atom): 0.21
Final energy (hartree per atom): -0.1850
Space group: No. 216
ΔE_f (kJ/mol of formula units): -128.8